No. 1
SrLa2Ta | PBE | optimized geometry

Its offset from the most stable computed form is 1.43 eV/f.u. The formation energy from the elements comes out at 2.99 eV per formula unit. The spin magnetization is 11.2 Bohr magnetons per cell. The calculation puts the total energy at -5.10 eV/atom.

It has space group F-43m (No. 216), with a = 8.034 Å, b = 8.034 Å, c = 8.034 Å, α = 90.00°, β = 90.00° and γ = 90.00°. The asymmetric unit holds Sr at (0.000, 0.000, 0.000), La at (0.000, 0.000, 0.500), La at (0.250, 0.250, 0.250) and Ta at (0.250, 0.250, 0.750).

***

No. 2
Sr2LaTa2 | PBE | optimized geometry

Its offset from the most stable computed form is 0.40 eV/f.u. The formation energy from the elements comes out at 5.09 eV per formula unit. The spin magnetization is 3.7 Bohr magnetons per cell. The calculation puts the total energy at -5.38 eV/atom.

It has space group I4/mmm (No. 139), with a = 4.778 Å, b = 4.778 Å, c = 14.699 Å, α = 90.00°, β = 90.00° and γ = 90.00°. The asymmetric unit holds Sr at (0.000, 0.500, 0.250), La at (0.000, 0.000, 0.000) and Ta at (0.000, 0.000, 0.420).

***

No. 3
SrLaTa2 | PBE | optimized geometry

Its offset from the most stable computed form is 2.12 eV/f.u. The formation energy from the elements comes out at 3.73 eV per formula unit. The spin magnetization is 0.0 Bohr magnetons per cell. The calculation puts the total energy at -6.65 eV/atom.

It has space group Immm (No. 71), with a = 4.326 Å, b = 4.346 Å, c = 10.622 Å, α = 90.00°, β = 90.00° and γ = 90.00°. The asymmetric unit holds Sr at (0.000, 0.000, 0.000), La at (0.000, 0.000, 0.500) and Ta at (0.000, 0.500, 0.250).

***

No. 4
SrLa2Ta | PBE | optimized geometry

Its offset from the most stable computed form is 1.13 eV/f.u. The formation energy from the elements comes out at 2.69 eV per formula unit. The spin magnetization is 0.0 Bohr magnetons per cell. The calculation puts the total energy at -5.17 eV/atom.

It has space group I-4m2 (No. 119), with a = 4.972 Å, b = 4.972 Å, c = 10.087 Å, α = 90.00°, β = 90.00° and γ = 90.00°. The asymmetric unit holds Sr at (0.000, 0.000, 0.000), La at (0.000, 0.000, 0.500), La at (0.000, 0.500, 0.250) and Ta at (0.000, 0.500, 0.750).

***

No. 5
SrLaTa2 | PBE | optimized geometry

Its offset from the most stable computed form is 3.37 eV/f.u. The formation energy from the elements comes out at 4.98 eV per formula unit. The spin magnetization is 0.0 Bohr magnetons per cell. The calculation puts the total energy at -6.33 eV/atom.

It has space group Fm-3m (No. 225), with a = 7.442 Å, b = 7.442 Å, c = 7.442 Å, α = 90.00°, β = 90.00° and γ = 90.00°. The asymmetric unit holds Sr at (0.000, 0.000, 0.000), La at (0.000, 0.000, 0.500) and Ta at (0.250, 0.250, 0.250).

***

No. 6
Sr2LaTa | PBE | optimized geometry

Its offset from the most stable computed form is 0.33 eV/f.u. The formation energy from the elements comes out at 2.59 eV per formula unit. The spin magnetization is 0.0 Bohr magnetons per cell. The calculation puts the total energy at -4.39 eV/atom.

It has space group Immm (No. 71), with a = 3.549 Å, b = 4.920 Å, c = 18.473 Å, α = 90.00°, β = 90.00° and γ = 90.00°. The asymmetric unit holds Sr at (0.000, 0.000, 0.163), La at (0.000, 0.500, 0.000) and Ta at (0.000, 0.500, 0.500).

***

No. 7
Sr2LaTa | PBE | optimized geometry

Its offset from the most stable computed form is 0.89 eV/f.u. The formation energy from the elements comes out at 3.16 eV per formula unit. The spin magnetization is 0.0 Bohr magnetons per cell. The calculation puts the total energy at -4.25 eV/atom.

It has space group Cmmm (No. 65), with a = 4.812 Å, b = 4.855 Å, c = 11.558 Å, α = 90.00°, β = 90.00° and γ = 90.00°. The asymmetric unit holds Sr at (0.000, 0.000, 0.212), La at (0.000, 0.500, 0.500) and Ta at (0.000, 0.500, 0.000).

***

No. 8
Sr2LaTa | PBE | optimized geometry

Its offset from the most stable computed form is 1.27 eV/f.u. The formation energy from the elements comes out at 3.53 eV per formula unit. The spin magnetization is 5.3 Bohr magnetons per cell. The calculation puts the total energy at -4.15 eV/atom.

It has space group C2/m (No. 12), with a = 6.876 Å, b = 12.052 Å, c = 3.448 Å, α = 90.00°, β = 107.43° and γ = 90.00°. The asymmetric unit holds Sr at (0.250, 0.250, 0.000), La at (0.000, 0.000, 0.500) and Ta at (0.000, 0.500, 0.500).